1.
DFT (GGA-PBE) results for a geometry-optimized Er3Tm2Zr structure.

Geometry as CIF:
```
data_Er3Tm2Zr
_cell_length_a 9.7667
_cell_length_b 3.4263
_cell_length_c 10.3349
_cell_angle_alpha 90.00
_cell_angle_beta 90.02
_cell_angle_gamma 90.00
_symmetry_space_group_name_H-M 'P 1 21/m 1'
_symmetry_Int_Tables_number 11
loop_
_symmetry_equiv_pos_as_xyz
'x,y,z'
'-x,-y,-z'
'-x,y+1/2,-z'
'x,-y+1/2,z'
loop_
_atom_site_label
_atom_site_type_symbol
_atom_site_fract_x
_atom_site_fract_y
_atom_site_fract_z
Er1 Er 0.1169 0.2500 0.0862
Er2 Er 0.3628 0.7500 0.5886
Er3 Er 0.3792 0.7500 0.2498
Tm1 Tm 0.1162 0.2500 0.4141
Tm2 Tm 0.3629 0.7500 0.9113
Zr1 Zr 0.1230 0.2500 0.7496
```

Values from the calculation:
polymorph energy (0 for the lowest one)	0.000	eV per atom
DOS at the Fermi energy	1.4073	states/eV per atom

---

2.
DFT (GGA-PBE) results for a geometry-optimized Er2Tm4Zr structure.

Geometry as CIF:
```
data_Er2Tm4Zr
_cell_length_a 5.3076
_cell_length_b 5.3076
_cell_length_c 16.7727
_cell_angle_alpha 90.00
_cell_angle_beta 90.00
_cell_angle_gamma 90.00
_symmetry_space_group_name_H-M 'I 4/m m m'
_symmetry_Int_Tables_number 139
_symmetry_space_group_name_Hall '-I 4 2'
loop_
_atom_site_label
_atom_site_type_symbol
_atom_site_fract_x
_atom_site_fract_y
_atom_site_fract_z
Er1 Er 0.0000 0.0000 0.1241
Tm1 Tm 0.0000 0.0000 0.3253
Tm2 Tm 0.0000 0.5000 0.0000
Zr1 Zr 0.0000 0.0000 0.5000
```

Values from the calculation:
polymorph energy (0 for the lowest one)	0.590	eV per atom
DOS at the Fermi energy	1.3706	states/eV per atom